1.
# RbSnHg, relaxed, DFT PBE-GGA
data_RbSnHg
_symmetry_space_group_name_H-M 'P 1 21/m 1'
_symmetry_Int_Tables_number 11
_cell_length_a 6.689
_cell_length_b 4.557
_cell_length_c 8.683
_cell_angle_alpha 90.00
_cell_angle_beta 94.09
_cell_angle_gamma 90.00
loop_
_symmetry_equiv_pos_as_xyz
'x,y,z'
'-x,-y,-z'
'-x,y+1/2,-z'
'x,-y+1/2,z'
loop_
_atom_site_label
_atom_site_fract_x
_atom_site_fract_y
_atom_site_fract_z
_atom_site_occupancy
Rb1 0.151 0.250 0.276 1
Sn1 0.378 0.750 0.951 1
Hg1 0.285 0.250 0.693 1
# * mass density: 5.1 Mg/m³
# * formation energy: -149 meV per atom
# * offset from the most stable computed form: 24.8 meV/atom


2.
# ZnSiPt2, relaxed, DFT PBE-GGA
data_ZnSiPt2
_symmetry_space_group_name_H-M 'P m m m'
_symmetry_Int_Tables_number 47
_cell_length_a 3.158
_cell_length_b 3.281
_cell_length_c 5.639
_cell_angle_alpha 90.00
_cell_angle_beta 90.00
_cell_angle_gamma 90.00
loop_
_symmetry_equiv_pos_as_xyz
'x,y,z'
'-x,-y,-z'
'-x,-y,z'
'x,y,-z'
'x,-y,-z'
'-x,y,z'
'-x,y,-z'
'x,-y,z'
loop_
_atom_site_label
_atom_site_fract_x
_atom_site_fract_y
_atom_site_fract_z
_atom_site_occupancy
Zn1 0.000 0.000 0.000 1
Si1 0.000 0.000 0.500 1
Pt1 0.500 0.500 0.257 1
# * mass density: 13.7 Mg/m³
# * ΔE_f (raw): -0.420 eV per atom


3.
# LaThGe2Pt2, relaxed, DFT PBE-GGA
data_LaThGe2Pt2
_symmetry_space_group_name_H-M 'P -3 m 1'
_symmetry_Int_Tables_number 164
_symmetry_space_group_name_Hall '-P 3 2"'
_cell_length_a 4.3836
_cell_length_b 4.3836
_cell_length_c 8.1601
_cell_angle_alpha 90.00
_cell_angle_beta 90.00
_cell_angle_gamma 120.00
loop_
_atom_site_label
_atom_site_fract_x
_atom_site_fract_y
_atom_site_fract_z
_atom_site_occupancy
La1 0.0000 0.0000 0.0000 1
Th1 0.0000 0.0000 0.5000 1
Ge1 0.3333 0.6667 0.7497 1
Pt1 0.3333 0.6667 0.2674 1
# * mass density: 11.1 Mg/m³
# * formation energy: -1099 meV per atom


4.
# Li2CaPPt, relaxed, DFT PBE-GGA
data_Li2CaPPt
_symmetry_space_group_name_H-M 'P 4/m m m'
_symmetry_Int_Tables_number 123
_symmetry_space_group_name_Hall '-P 4 2'
_cell_length_a 4.548
_cell_length_b 4.548
_cell_length_c 4.667
_cell_angle_alpha 90.00
_cell_angle_beta 90.00
_cell_angle_gamma 90.00
loop_
_atom_site_label
_atom_site_fract_x
_atom_site_fract_y
_atom_site_fract_z
_atom_site_occupancy
Li1 0.000 0.500 0.000 1
Ca1 0.000 0.000 0.500 1
P1 0.500 0.500 0.000 1
Pt1 0.500 0.500 0.500 1
# * mass density: 4.8 Mg/m³
# * formation energy: -527 meV per atom


5.
# RbAu, relaxed, DFT PBE-GGA
data_RbAu
_symmetry_space_group_name_H-M 'F m -3 m'
_symmetry_Int_Tables_number 225
_symmetry_space_group_name_Hall '-F 4 2 3'
_cell_length_a 7.095
_cell_length_b 7.095
_cell_length_c 7.095
_cell_angle_alpha 90.00
_cell_angle_beta 90.00
_cell_angle_gamma 90.00
loop_
_atom_site_label
_atom_site_fract_x
_atom_site_fract_y
_atom_site_fract_z
_atom_site_occupancy
Rb1 0.000 0.000 0.000 1
Au1 0.000 0.000 0.500 1
# * mass density: 5.3 Mg/m³
# * formation energy: -261 meV per atom


6.
# YAuCl2, relaxed, DFT PBE-GGA
data_YAuCl2
_symmetry_space_group_name_H-M 'R -3 m'
_symmetry_Int_Tables_number 166
_symmetry_space_group_name_Hall '-R 3 2"'
_cell_length_a 3.5070
_cell_length_b 3.5070
_cell_length_c 31.1178
_cell_angle_alpha 90.00
_cell_angle_beta 90.00
_cell_angle_gamma 120.00
loop_
_atom_site_label
_atom_site_fract_x
_atom_site_fract_y
_atom_site_fract_z
_atom_site_occupancy
Y1 0.0000 0.0000 0.0000 1
Au1 0.0000 0.0000 0.5000 1
Cl1 0.0000 0.0000 0.2763 1
# * mass density: 5.4 Mg/m³
# * ΔE_f (raw): -1.030 eV per atom
# * offset from the most stable computed form: 424.4 meV/atom